No. 1
# YSc2InN, optimized geometry, DFT GGA-PBEsol
# - electronic total energy (eV for the cell shown) = -21.665
# - formation energy from raw total energies (meV/atom) = 1975
# - magnetization (μB/f.u.) = 2.0
# - DOS(E_F) (states/eV/cell) = 5.88
data_YSc2InN
_cell_length_a 5.1942
_cell_length_b 5.1942
_cell_length_c 5.5241
_cell_angle_alpha 90.00
_cell_angle_beta 90.00
_cell_angle_gamma 90.00
_space_group_name_H-M_alt 'P 1'
_space_group_IT_number 1
loop_
_space_group_symop_operation_xyz
'x,y,z'
loop_
_atom_site_label
_atom_site_fract_x
_atom_site_fract_y
_atom_site_fract_z
_atom_site_occupancy
Y1 0.0000 0.0000 0.0000 1
Sc1 0.0000 0.5000 0.0000 1
Sc2 0.5000 0.0000 0.0000 1
N1 0.5000 0.5000 0.5000 1
In1 0.0000 0.0000 0.5000 1



No. 2
# LaAl2Au2, optimized geometry, DFT GGA-PBEsol
# - formation energy from the elements (meV/atom) = -699
# - electronic total energy (eV for the cell shown) = -24.871
# - magnetization (μB/f.u.) = 0.0
# - DOS(E_F) (states/eV/cell) = 3.13
data_LaAl2Au2
_cell_length_a 4.4822
_cell_length_b 4.4822
_cell_length_c 6.0185
_cell_angle_alpha 111.86
_cell_angle_beta 111.86
_cell_angle_gamma 90.00
_space_group_name_H-M_alt 'P 1'
_space_group_IT_number 1
loop_
_space_group_symop_operation_xyz
'x,y,z'
loop_
_atom_site_label
_atom_site_fract_x
_atom_site_fract_y
_atom_site_fract_z
_atom_site_occupancy
Au1 0.2500 0.7500 0.5000 1
Au2 0.7500 0.2500 0.5000 1
Al1 0.3734 0.3734 0.7468 1
Al2 0.6266 0.6266 0.2532 1
La1 0.0000 0.0000 0.0000 1



No. 3
# FeCo, optimized geometry, DFT GGA-PBEsol
# - formation energy from the elements (meV/atom) = 35
# - electronic total energy (eV for the cell shown) = -49.894
# - magnetization (μB/f.u.) = 4.3
# - DOS(E_F) (states/eV/cell) = 5.55
data_FeCo
_cell_length_a 3.9529
_cell_length_b 3.9529
_cell_length_c 4.8089
_cell_angle_alpha 90.00
_cell_angle_beta 90.00
_cell_angle_gamma 120.00
_space_group_name_H-M_alt 'P 1'
_space_group_IT_number 1
loop_
_space_group_symop_operation_xyz
'x,y,z'
loop_
_atom_site_label
_atom_site_fract_x
_atom_site_fract_y
_atom_site_fract_z
_atom_site_occupancy
Co1 0.6667 0.3333 0.3324 1
Co2 0.0000 0.0000 0.5000 1
Co3 0.3333 0.6667 0.6676 1
Fe1 0.6667 0.3333 0.8307 1
Fe2 0.0000 0.0000 0.0000 1
Fe3 0.3333 0.6667 0.1693 1



No. 4
# Ta3MnSe, optimized geometry, DFT GGA-PBEsol
# - electronic total energy (eV for the cell shown) = -47.067
# - formation energy from raw total energies (meV/atom) = 839
# - magnetization (μB/f.u.) = 0.0
# - DOS(E_F) (states/eV/cell) = 5.25
data_Ta3MnSe
_cell_length_a 4.5661
_cell_length_b 4.5661
_cell_length_c 4.5661
_cell_angle_alpha 90.00
_cell_angle_beta 90.00
_cell_angle_gamma 90.00
_space_group_name_H-M_alt 'P 1'
_space_group_IT_number 1
loop_
_space_group_symop_operation_xyz
'x,y,z'
loop_
_atom_site_label
_atom_site_fract_x
_atom_site_fract_y
_atom_site_fract_z
_atom_site_occupancy
Mn1 0.0000 0.0000 0.0000 1
Se1 0.5000 0.5000 0.5000 1
Ta1 0.0000 0.5000 0.0000 1
Ta2 0.0000 0.0000 0.5000 1
Ta3 0.5000 0.0000 0.0000 1



No. 5
# Cr2ReBr, optimized geometry, DFT GGA-PBEsol
# - electronic total energy (eV for the cell shown) = -32.136
# - formation energy from raw total energies (meV/atom) = 888
# - magnetization (μB/f.u.) = 0.0
# - distance to the lowest polymorph of the same formula (eV/atom) = 0.000
# - DOS(E_F) (states/eV/cell) = 4.02
data_Cr2ReBr
_cell_length_a 2.8747
_cell_length_b 4.3519
_cell_length_c 4.9683
_cell_angle_alpha 115.97
_cell_angle_beta 106.82
_cell_angle_gamma 90.00
_space_group_name_H-M_alt 'P 1'
_space_group_IT_number 1
loop_
_space_group_symop_operation_xyz
'x,y,z'
loop_
_atom_site_label
_atom_site_fract_x
_atom_site_fract_y
_atom_site_fract_z
_atom_site_occupancy
Br1 0.0000 0.5000 0.0000 1
Cr1 0.7346 0.7346 0.4693 1
Cr2 0.2654 0.2654 0.5307 1
Re1 0.5000 0.0000 0.0000 1



No. 6
# SiNi2Br, optimized geometry, DFT GGA-PBEsol
# - electronic total energy (eV for the cell shown) = -19.402
# - formation energy from raw total energies (meV/atom) = 132
# - magnetization (μB/f.u.) = 0.3
# - DOS(E_F) (states/eV/cell) = 3.83
data_SiNi2Br
_cell_length_a 3.1430
_cell_length_b 3.1430
_cell_length_c 6.0233
_cell_angle_alpha 90.00
_cell_angle_beta 90.00
_cell_angle_gamma 90.00
_space_group_name_H-M_alt 'P 1'
_space_group_IT_number 1
loop_
_space_group_symop_operation_xyz
'x,y,z'
loop_
_atom_site_label
_atom_site_fract_x
_atom_site_fract_y
_atom_site_fract_z
_atom_site_occupancy
Br1 0.5000 0.5000 0.8280 1
Ni1 0.0000 0.0000 0.0221 1
Ni2 0.5000 0.5000 0.2582 1
Si1 0.0000 0.0000 0.3917 1



No. 7
# Sm2NbInO7, optimized geometry, DFT GGA-PBEsol
# - electronic total energy (eV for the cell shown) = -183.368
# - formation energy from raw total energies (meV/atom) = -2814
# - magnetization (μB/f.u.) = 0.0
# - DOS(E_F) (states/eV/cell) = 0.00
data_Sm2NbInO7
_cell_length_a 7.3145
_cell_length_b 7.4490
_cell_length_c 7.4490
_cell_angle_alpha 61.13
_cell_angle_beta 60.60
_cell_angle_gamma 60.60
_space_group_name_H-M_alt 'P 1'
_space_group_IT_number 1
loop_
_space_group_symop_operation_xyz
'x,y,z'
loop_
_atom_site_label
_atom_site_fract_x
_atom_site_fract_y
_atom_site_fract_z
_atom_site_occupancy
Sm1 0.0000 0.5000 0.0000 1
Sm2 0.5000 0.5000 0.0000 1
Sm3 0.5000 0.5000 0.5000 1
Sm4 0.5000 0.0000 0.0000 1
Nb1 0.0000 0.0000 0.0000 1
Nb2 0.0000 0.5000 0.5000 1
In1 0.5000 0.0000 0.5000 1
In2 0.0000 0.0000 0.5000 1
O1 0.3731 0.3769 0.8769 1
O2 0.6269 0.6231 0.1231 1
O3 0.9363 0.3137 0.8137 1
O4 0.3525 0.8975 0.3975 1
O5 0.9220 0.3499 0.4002 1
O6 0.3279 0.9002 0.8499 1
O7 0.3279 0.3499 0.4002 1
O8 0.9220 0.9002 0.8499 1
O9 0.0637 0.6863 0.1863 1
O10 0.6475 0.1025 0.6025 1
O11 0.0780 0.6501 0.5998 1
O12 0.6721 0.0998 0.1501 1
O13 0.6721 0.6501 0.5998 1
O14 0.0780 0.0998 0.1501 1



No. 8
# LaHf3N, optimized geometry, DFT GGA-PBEsol
# - electronic total energy (eV for the cell shown) = -32.152
# - formation energy from raw total energies (meV/atom) = 2646
# - magnetization (μB/f.u.) = 0.0
# - DOS(E_F) (states/eV/cell) = 6.14
data_LaHf3N
_cell_length_a 5.0212
_cell_length_b 5.0212
_cell_length_c 5.0212
_cell_angle_alpha 90.00
_cell_angle_beta 90.00
_cell_angle_gamma 90.00
_space_group_name_H-M_alt 'P 1'
_space_group_IT_number 1
loop_
_space_group_symop_operation_xyz
'x,y,z'
loop_
_atom_site_label
_atom_site_fract_x
_atom_site_fract_y
_atom_site_fract_z
_atom_site_occupancy
N1 0.5000 0.5000 0.5000 1
Hf1 0.0000 0.5000 0.0000 1
Hf2 0.0000 0.0000 0.5000 1
Hf3 0.5000 0.0000 0.0000 1
La1 0.0000 0.0000 0.0000 1



No. 9
# NbAlSeN2, optimized geometry, DFT GGA-PBEsol
# - electronic total energy (eV for the cell shown) = -34.951
# - formation energy from raw total energies (meV/atom) = 173
# - magnetization (μB/f.u.) = 0.0
# - DOS(E_F) (states/eV/cell) = 2.44
data_NbAlSeN2
_cell_length_a 3.9725
_cell_length_b 3.9725
_cell_length_c 5.3746
_cell_angle_alpha 90.00
_cell_angle_beta 90.00
_cell_angle_gamma 90.00
_space_group_name_H-M_alt 'P 1'
_space_group_IT_number 1
loop_
_space_group_symop_operation_xyz
'x,y,z'
loop_
_atom_site_label
_atom_site_fract_x
_atom_site_fract_y
_atom_site_fract_z
_atom_site_occupancy
Nb1 0.0000 0.0000 0.0000 1
Al1 0.5000 0.5000 0.5000 1
Se1 0.0000 0.0000 0.5000 1
N1 0.0000 0.5000 0.0000 1
N2 0.5000 0.0000 0.0000 1



No. 10
# CdReP2Cl, optimized geometry, DFT GGA-PBEsol
# - electronic total energy (eV for the cell shown) = -26.336
# - formation energy from raw total energies (meV/atom) = 357
# - magnetization (μB/f.u.) = 0.0
# - DOS(E_F) (states/eV/cell) = 2.88
data_CdReP2Cl
_cell_length_a 4.5395
_cell_length_b 4.5395
_cell_length_c 5.1097
_cell_angle_alpha 90.00
_cell_angle_beta 90.00
_cell_angle_gamma 90.00
_space_group_name_H-M_alt 'P 1'
_space_group_IT_number 1
loop_
_space_group_symop_operation_xyz
'x,y,z'
loop_
_atom_site_label
_atom_site_fract_x
_atom_site_fract_y
_atom_site_fract_z
_atom_site_occupancy
Re1 0.0000 0.0000 0.0000 1
Cl1 0.0000 0.0000 0.5000 1
P1 0.0000 0.5000 0.0000 1
P2 0.5000 0.0000 0.0000 1
Cd1 0.5000 0.5000 0.5000 1